LiAcSiAg (GGA-PBE, optimized geometry); ΔE_f (raw) = -0.204 eV/atom
1.0
0.000 3.655 3.655
3.655 0.000 3.655
3.655 3.655 0.000
Li Ac Si Ag
1 1 1 1
Cartesian
0.000 0.000 0.000
3.655 3.655 3.655
5.483 5.483 5.483
1.828 1.828 1.828

FeNi2W (GGA-PBE, optimized geometry); formation enthalpy at 0 K = -0.008 eV/atom; E above lowest polymorph = 1.0 kJ/mol of atoms
1.0
3.534 0.000 0.000
0.000 3.534 0.000
0.000 0.000 3.803
Fe Ni W
1 2 1
Cartesian
0.000 0.000 0.000
0.000 1.767 1.901
1.767 0.000 1.901
1.767 1.767 0.000

Nd2Al4Cu5 (GGA-PBE, optimized geometry); formation enthalpy at 0 K = -0.292 eV/atom
1.0
0.000 4.793 7.429
2.769 0.000 7.429
2.769 4.793 0.000
Nd Al Cu
2 4 5
Cartesian
2.769 4.793 2.078
2.769 4.793 12.781
2.769 3.282 5.525
2.769 3.282 9.334
2.769 6.304 5.525
2.769 6.304 9.334
1.385 2.397 0.000
1.385 2.397 3.715
1.385 2.397 7.429
2.769 4.793 7.429
4.154 7.190 11.144

Cd2AsPdI (GGA-PBE, optimized geometry); ΔE_f (raw) = 1.153 eV/atom
1.0
5.667 0.000 0.000
0.000 5.667 0.000
0.000 0.000 5.493
Cd As Pd I
2 1 1 1
Cartesian
0.000 2.834 0.000
2.834 0.000 0.000
0.000 0.000 2.746
2.834 2.834 2.746
0.000 0.000 0.000

Ac6Ni2HBr3 (GGA-PBE, optimized geometry); total energy = -4.50 eV/atom
1.0
3.694 -6.400 0.000
3.694 6.400 0.000
-2.471 0.000 8.142
Ac Ni H Br
6 2 1 3
Cartesian
-0.025 2.163 6.550
1.191 0.000 1.585
-0.025 -2.163 6.550
4.941 2.163 1.592
3.725 0.000 6.558
4.941 -2.163 1.592
3.694 4.269 0.000
3.694 -4.269 0.000
3.694 0.000 0.000
-1.236 0.000 4.071
2.458 2.193 4.071
2.458 -2.193 4.071

KWSe2 (GGA-PBE, optimized geometry); ΔE_f (raw) = -0.275 eV/atom; E above lowest polymorph = 4.7 kJ/mol of atoms
1.0
3.944 -1.710 0.000
3.944 1.710 0.000
-1.999 0.000 7.439
K W Se
1 1 2
Cartesian
0.000 0.000 0.000
4.686 0.000 3.394
0.309 0.000 5.174
2.394 0.000 2.408

SrSmS2F (GGA-PBE, optimized geometry); ΔE_f (raw) = -2.582 eV/atom
1.0
4.033 0.000 0.000
0.000 4.033 0.000
0.000 0.000 14.267
Sr Sm S F
2 2 4 2
Cartesian
1.008 1.008 1.467
3.025 3.025 12.800
1.008 1.008 8.893
3.025 3.025 5.374
1.008 1.008 5.823
1.008 1.008 11.436
3.025 3.025 2.831
3.025 3.025 8.444
1.008 3.025 0.000
3.025 1.008 0.000

Ho3TmO6 (GGA-PBE, optimized geometry); ΔE_f (raw) = -3.613 eV/atom
1.0
4.782 2.761 3.742
-4.782 2.761 3.742
0.000 -5.522 3.742
Ho Tm O
6 2 12
Cartesian
-2.428 -2.435 5.137
-3.322 0.885 6.090
0.895 -3.320 6.090
-0.895 3.320 5.137
3.322 -0.885 5.137
2.428 2.435 6.090
0.000 0.000 0.000
0.000 0.000 5.614
-4.154 -1.209 6.045
-1.030 -4.202 5.182
-1.949 -0.218 4.522
-3.124 2.993 5.182
-0.786 -1.797 6.705
1.163 -1.579 4.522
-1.163 1.579 6.705
0.786 1.797 4.522
3.124 -2.993 6.045
1.949 0.218 6.705
1.030 4.202 6.045
4.154 1.209 5.182